(1)
The following is a PBE calculation of a geometry-optimized Ca2MgIn structure, from the Alexandria database.

a = 3.795 Å, b = 3.795 Å, c = 8.665 Å
α = 90.00°, β = 90.00°, γ = 90.00°
Sites, in units of the cell vectors:
1 Ca 0.000 0.000 0.000
2 Ca 0.500 0.500 0.336
3 Mg 0.500 0.500 0.752
4 In 0.000 0.000 0.574

Energy relative to the elements in eV per atom: -0.177
Volume in Å³/cell: 125
Excess energy over the best structure of this formula in the dataset in eV/f.u.: 0.55

***

(2)
The following is a PBE calculation of a geometry-optimized Ca3MgIn structure, from the Alexandria database.

a = 6.001 Å, b = 6.001 Å, c = 6.001 Å
α = 90.00°, β = 90.00°, γ = 90.00°
Sites, in units of the cell vectors:
1 Ca 0.000 0.000 0.500
2 Ca 0.000 0.500 0.000
3 Ca 0.500 0.000 0.000
4 Mg 0.500 0.500 0.500
5 In 0.000 0.000 0.000

Energy relative to the elements in eV per atom: 0.116
Volume in Å³/cell: 216
Excess energy over the best structure of this formula in the dataset in eV/f.u.: 1.83

***

(3)
The following is a PBE calculation of a geometry-optimized CaMgIn structure, from the Alexandria database.

a = 6.466 Å, b = 6.466 Å, c = 3.747 Å
α = 106.71°, β = 106.71°, γ = 33.69°
Sites, in units of the cell vectors:
1 Ca 0.000 0.000 0.000
2 Mg 0.310 0.310 0.309
3 In 0.678 0.678 0.678

Energy relative to the elements in eV per atom: -0.227
Volume in Å³/cell: 83

***

(4)
The following is a PBE calculation of a geometry-optimized CaMg2In structure, from the Alexandria database.

a = 5.611 Å, b = 5.611 Å, c = 6.083 Å
α = 100.93°, β = 100.93°, γ = 34.87°
Sites, in units of the cell vectors:
1 Ca 0.000 0.000 0.000
2 Mg 0.513 0.513 0.502
3 Mg 0.764 0.764 0.290
4 In 0.246 0.246 0.751

Energy relative to the elements in eV per atom: -0.097
Volume in Å³/cell: 107

***

(5)
The following is a PBE calculation of a geometry-optimized CaMg2In structure, from the Alexandria database.

a = 3.450 Å, b = 4.919 Å, c = 6.454 Å
α = 90.00°, β = 105.35°, γ = 90.00°
Sites, in units of the cell vectors:
1 Ca 0.000 0.000 0.000
2 Mg 0.332 0.500 0.668
3 Mg 0.739 0.000 0.480
4 In 0.606 0.500 0.213

Energy relative to the elements in eV per atom: -0.179
Volume in Å³/cell: 106

***

(6)
The following is a PBE calculation of a geometry-optimized Ca2MgIn structure, from the Alexandria database.

a = 5.613 Å, b = 5.613 Å, c = 6.759 Å
α = 98.74°, β = 98.74°, γ = 37.08°
Sites, in units of the cell vectors:
1 Ca 0.246 0.246 0.240
2 Ca 0.754 0.754 0.760
3 Mg 0.000 0.000 0.500
4 In 0.500 0.500 0.000

Energy relative to the elements in eV per atom: -0.113
Volume in Å³/cell: 127
Excess energy over the best structure of this formula in the dataset in eV/f.u.: 0.81

***

(7)
The following is a PBE calculation of a geometry-optimized Ca2MgIn5 structure, from the Alexandria database.

a = 6.604 Å, b = 6.604 Å, c = 6.604 Å
α = 118.88°, β = 118.88°, γ = 91.96°
Sites, in units of the cell vectors:
1 Ca 0.000 0.500 0.500
2 Ca 0.500 0.000 0.500
3 Mg 0.499 0.499 0.000
4 In 0.000 0.000 0.000
5 In 0.000 0.000 0.500
6 In 0.000 0.500 0.000
7 In 0.500 0.000 0.000
8 In 0.500 0.500 0.500

Energy relative to the elements in eV per atom: -0.311
Volume in Å³/cell: 207

***

(8)
The following is a PBE calculation of a geometry-optimized Ca3MgIn structure, from the Alexandria database.

a = 10.900 Å, b = 10.900 Å, c = 5.494 Å
α = 90.00°, β = 90.00°, γ = 150.81°
Sites, in units of the cell vectors:
1 Ca 0.067 0.933 0.750
2 Ca 0.250 0.750 0.750
3 Ca 0.433 0.567 0.750
4 Ca 0.567 0.433 0.250
5 Ca 0.750 0.250 0.250
6 Ca 0.933 0.067 0.250
7 Mg 0.157 0.843 0.250
8 Mg 0.843 0.157 0.750
9 In 0.342 0.658 0.250
10 In 0.658 0.342 0.750

Energy relative to the elements in eV per atom: -0.249
Volume in Å³/cell: 318
Excess energy over the best structure of this formula in the dataset in eV/f.u.: 0.00

***

no.,Fermi-level density of states (states/eV per cell)
1,2.4
2,6.8
3,1.4
4,2.0
5,1.4
6,3.3
7,2.4
8,6.4